[1]
Al2CdHg, optimized geometry, DFT PBE; calculated total energy = -1.915 eV per atom; ΔE to the lowest computed polymorph = 0.59 eV/f.u.; DOS at the Fermi energy = 0.694 states/eV/atom
1.0
4.9185 0.0000 0.0000
2.4592 4.2595 0.0000
2.4592 1.4198 4.0159
Al Cd Hg
2 1 1
Cartesian
7.3777 4.2595 3.0119
0.0000 0.0000 0.0000
4.9185 2.8397 2.0080
2.4592 1.4198 1.0040

[2]
KScTa, optimized geometry, DFT PBE; calculated total energy = -5.422 eV per atom; ΔE to the lowest computed polymorph = 1.16 eV/f.u.; DOS at the Fermi energy = 1.397 states/eV/atom
1.0
7.1198 0.0188 -0.0116
4.9175 5.1489 0.0116
-5.5251 -3.7334 2.4954
Ta K Sc
1 1 1
Cartesian
3.3501 1.4382 0.0000
12.0023 5.1527 0.0000
8.7221 3.7445 0.0000

[3]
LiHo2TlS4, optimized geometry, DFT PBE; calculated total energy = -5.387 eV per atom; DOS at the Fermi energy = 0.000 states/eV/atom; E_form (uncorrected) = -1644 meV/atom
1.0
4.0016 0.0000 0.0000
-2.0008 6.7086 0.0000
0.0000 0.0000 14.0267
S Ho Li Tl
8 4 2 2
Cartesian
0.0000 0.0000 0.0000
0.0000 3.5132 5.5421
2.0008 3.1954 12.5555
2.0008 1.0510 3.5067
0.0000 3.5132 1.4712
0.0000 0.0000 7.0134
2.0008 3.1954 8.4846
0.0000 5.6576 10.5201
0.0000 4.9068 7.8663
2.0008 1.8018 6.1604
2.0008 1.8018 0.8529
0.0000 4.9068 13.1738
2.0008 4.3674 10.5201
0.0000 2.3412 3.5067
2.0008 5.3603 3.5067
0.0000 1.3483 10.5201